# Zr2AlTeBr (GGA-PBE, relaxed)
data_Zr2AlTeBr
_chemical_formula_sum 'Zr2 Al1 Te1 Br1'
_cell_length_a 5.082
_cell_length_b 4.884
_cell_length_c 5.082
_cell_angle_alpha 90.00
_cell_angle_beta 90.00
_cell_angle_gamma 90.00
_space_group_name_H-M_alt 'P 1'
_space_group_IT_number 1
loop_
_space_group_symop_operation_xyz
'x,y,z'
loop_
_atom_site_label
_atom_site_fract_x
_atom_site_fract_y
_atom_site_fract_z
Al1 0.000 0.500 0.000
Br1 0.000 0.000 0.000
Te1 0.500 0.500 0.500
Zr1 0.000 0.000 0.500
Zr2 0.500 0.000 0.000
# - density (g/cm³) = 5.49
# - raw formation energy (kJ/mol of formula units) = 254

# CdIn2Br2F2 (GGA-PBE, relaxed)
data_CdIn2Br2F2
_chemical_formula_sum 'Cd1 In2 Br2 F2'
_cell_length_a 4.007
_cell_length_b 7.011
_cell_length_c 7.541
_cell_angle_alpha 71.84
_cell_angle_beta 74.59
_cell_angle_gamma 73.40
_space_group_name_H-M_alt 'P 1'
_space_group_IT_number 1
loop_
_space_group_symop_operation_xyz
'x,y,z'
loop_
_atom_site_label
_atom_site_fract_x
_atom_site_fract_y
_atom_site_fract_z
F1 0.194 0.671 0.941
F2 0.806 0.329 0.059
In1 0.173 0.402 0.251
In2 0.827 0.598 0.749
Cd1 0.000 0.000 0.000
Br1 0.573 0.124 0.730
Br2 0.427 0.876 0.270
# - density (g/cm³) = 4.74
# - raw formation energy (kJ/mol of formula units) = -910

# Nb2HRuW (GGA-PBE, relaxed)
data_Nb2HRuW
_chemical_formula_sum 'Nb2 H1 Ru1 W1'
_cell_length_a 4.466
_cell_length_b 4.466
_cell_length_c 3.472
_cell_angle_alpha 90.00
_cell_angle_beta 90.00
_cell_angle_gamma 90.00
_space_group_name_H-M_alt 'P 1'
_space_group_IT_number 1
loop_
_space_group_symop_operation_xyz
'x,y,z'
loop_
_atom_site_label
_atom_site_fract_x
_atom_site_fract_y
_atom_site_fract_z
Nb1 0.000 0.500 0.000
Nb2 0.500 0.000 0.000
W1 0.500 0.500 0.500
Ru1 0.000 0.000 0.500
H1 0.000 0.000 0.000
# - offset from the most stable computed form (meV per atom) = 0
# - density (g/cm³) = 11.32

# Y5InCo (GGA-PBE, relaxed)
data_Y5InCo
_chemical_formula_sum 'Y5 In1 Co1'
_cell_length_a 5.013
_cell_length_b 5.013
_cell_length_c 8.017
_cell_angle_alpha 90.00
_cell_angle_beta 90.00
_cell_angle_gamma 90.00
_space_group_name_H-M_alt 'P 1'
_space_group_IT_number 1
loop_
_space_group_symop_operation_xyz
'x,y,z'
loop_
_atom_site_label
_atom_site_fract_x
_atom_site_fract_y
_atom_site_fract_z
Y1 0.000 0.500 0.255
Y2 0.500 0.000 0.255
Y3 0.000 0.500 0.745
Y4 0.500 0.500 0.000
Y5 0.500 0.000 0.745
Co1 0.000 0.000 0.000
In1 0.000 0.000 0.500
# - offset from the most stable computed form (meV per atom) = 285
# - density (g/cm³) = 5.10
# - formation enthalpy at 0 K (eV per atom) = 0.151

# SrSc2Zn2 (GGA-PBE, relaxed)
data_SrSc2Zn2
_chemical_formula_sum 'Sr1 Sc2 Zn2'
_cell_length_a 5.016
_cell_length_b 5.016
_cell_length_c 6.439
_cell_angle_alpha 67.08
_cell_angle_beta 67.08
_cell_angle_gamma 90.00
_space_group_name_H-M_alt 'P 1'
_space_group_IT_number 1
loop_
_space_group_symop_operation_xyz
'x,y,z'
loop_
_atom_site_label
_atom_site_fract_x
_atom_site_fract_y
_atom_site_fract_z
Sc1 0.349 0.349 0.303
Sc2 0.651 0.651 0.697
Zn1 0.750 0.250 0.500
Zn2 0.250 0.750 0.500
Sr1 0.000 0.000 0.000
# - offset from the most stable computed form (meV per atom) = 159
# - density (g/cm³) = 3.79
# - formation enthalpy at 0 K (eV per atom) = 0.052

# LiSm2As3Rh4 (GGA-PBE, relaxed)
data_LiSm2As3Rh4
_chemical_formula_sum 'Li1 Sm2 As3 Rh4'
_cell_length_a 4.140
_cell_length_b 4.140
_cell_length_c 10.335
_cell_angle_alpha 90.00
_cell_angle_beta 90.00
_cell_angle_gamma 90.00
_space_group_name_H-M_alt 'P 1'
_space_group_IT_number 1
loop_
_space_group_symop_operation_xyz
'x,y,z'
loop_
_atom_site_label
_atom_site_fract_x
_atom_site_fract_y
_atom_site_fract_z
Li1 0.500 0.500 0.500
Rh1 0.500 0.000 0.630
Rh2 0.000 0.500 0.370
Rh3 0.500 0.500 0.000
Rh4 0.000 0.000 0.000
As1 0.000 0.500 0.139
As2 0.000 0.000 0.500
As3 0.500 0.000 0.861
Sm1 0.000 0.500 0.746
Sm2 0.500 0.000 0.254
# - density (g/cm³) = 8.85
# - formation enthalpy at 0 K (eV per atom) = -0.910

no.,M_tot (Bohr magnetons per cell),Fermi-level density of states (states/eV/atom)
1,0.00,0.900
2,0.00,0.000
3,0.00,0.760
4,0.82,1.303
5,1.26,1.173
6,0.00,0.297